Here is crystalline BaDyAu2 at its relaxed geometry from Alexandria. Energies are from PBE.

Polymorph energy (0 for the lowest one) ... 0 meV per atom
E_form ... -0.75 eV per atom
SG ... P4/mmm, No. 123

```
BaDyAu2
1.0
3.762 0.000 0.000
0.000 3.762 0.000
0.000 0.000 7.784
Ba Dy Au
1 1 2
Direct
0.000 0.000 0.000
0.000 0.000 0.500
0.500 0.500 0.304
0.500 0.500 0.696
```